Material: TaCd2Tc
Method: DFT, GGA-PBE
State: optimized geometry

Geometry as POSCAR:
```
TaCd2Tc
1.0
3.298 0.000 0.000
0.000 3.300 0.141
0.000 3.005 7.112
Cd Ta Tc
2 1 1
direct
0.000 0.015 0.985 Cd
0.500 0.242 0.258 Cd
0.000 0.456 0.543 Ta
0.500 0.786 0.713 Tc
```

Computed properties:
V   76 Å³/cell
Energy relative to the elements   0.096 eV/atom
E_tot   -5.916 eV per atom
ΔE to the lowest computed polymorph   0.00 eV/f.u.